Crystalline V2CSe at its relaxed geometry. Source: Alexandria, functional GGA-PBE.

Output
The calculation puts the calculated density at 6.43 Mg/m³. Its total energy is -99.19 eV per cell. The formation energy from raw total energies comes out at -0.5293 eV per atom.

```
data_V2CSe
_space_group_name_H-M_alt 'R -3 m'
_space_group_IT_number 166
_space_group_name_Hall '-R 3 2"'
_cell_length_a 3.1443
_cell_length_b 3.1443
_cell_length_c 17.4427
_cell_angle_alpha 90.00
_cell_angle_beta 90.00
_cell_angle_gamma 120.00
loop_
_atom_site_label
_atom_site_fract_x
_atom_site_fract_y
_atom_site_fract_z
_atom_site_occupancy
V1 0.0000 0.0000 0.2226 1
C1 0.0000 0.0000 0.5000 1
Se1 0.0000 0.0000 0.0000 1
```